(1)
Entry from Alexandria via LeMat-Bulk: a geometry-optimized TbMgCoPt structure (GGA-PBE).

Lattice parameters (Å, degrees): 4.6621 4.6621 4.6621 60.00 60.00 60.00
Last column: nearest neighbours and their distance in Å.
Positions (direct):
Mg 0.5000 0.5000 0.5000  4 Pt 2.85, 4 Co 2.85
Pt 0.7500 0.7500 0.7500  4 Tb 2.85, 4 Mg 2.85
Co 0.2500 0.2500 0.2500  4 Mg 2.85, 4 Tb 2.85
Tb 0.0000 0.0000 0.0000  4 Co 2.85, 4 Pt 2.85

Summary:
**Formation energy from the elements**: -489 meV/atom
**Total magnetic moment**: 0.471 μB per formula unit
**DFT total energy**: -5.33 eV/atom

---

(2)
Entry from Alexandria via LeMat-Bulk: a geometry-optimized MgTiCoPt2 structure (GGA-PBE).

Lattice parameters (Å, degrees): 4.6320 4.9748 4.6320 90.00 90.00 90.00
Last column: nearest neighbours and their distance in Å.
Positions (direct):
Pt 0.5000 0.0000 0.0000  2 Ti 2.32
Pt 0.0000 0.0000 0.5000  2 Ti 2.32
Co 0.5000 0.5000 0.5000  4 Mg 3.28, 8 Pt 3.40
Mg 0.0000 0.5000 0.0000  2 Ti 2.49
Ti 0.0000 0.0000 0.0000  4 Pt 2.32, 2 Mg 2.49

Summary:
**Formation energy from the elements**: 984 meV/atom
**Total magnetic moment**: 2.579 μB per formula unit
**DFT total energy**: -4.75 eV/atom

---

(3)
Entry from Alexandria via LeMat-Bulk: a geometry-optimized MgZrCoPt structure (GGA-PBE).

Lattice parameters (Å, degrees): 4.5285 4.5285 4.5285 60.00 60.00 60.00
Last column: nearest neighbours and their distance in Å.
Positions (direct):
Pt 0.7500 0.7500 0.7500  4 Zr 2.77, 4 Mg 2.77
Zr 0.0000 0.0000 0.0000  4 Pt 2.77, 4 Co 2.77
Mg 0.5000 0.5000 0.5000  4 Co 2.77, 4 Pt 2.77
Co 0.2500 0.2500 0.2500  4 Mg 2.77, 4 Zr 2.77

Summary:
**Formation energy from the elements**: -583 meV/atom
**Total magnetic moment**: 0.921 μB per formula unit
**DFT total energy**: -6.41 eV/atom

---

(4)
Entry from Alexandria via LeMat-Bulk: a geometry-optimized Pu2MgCo9 structure (GGA-PBE).

Lattice parameters (Å, degrees): 4.8474 4.8474 8.6320 73.69 73.69 60.00
Last column: nearest neighbours and their distance in Å.
Positions (direct):
Pu 0.8621 0.8621 0.4138  9 Co 2.80-2.89, 3 Pu 3.13
Pu 0.1379 0.1379 0.5862  9 Co 2.80-2.89, 3 Pu 3.13
Co 0.5000 0.5000 0.5000  6 Co 2.53
Co 0.3331 0.3331 0.0006  6 Co 2.42-2.43
Co 0.9190 0.4193 0.2423  7 Co 2.42-2.53
Co 0.4193 0.4193 0.2423  7 Co 2.42-2.53
Co 0.0810 0.5807 0.7577  7 Co 2.42-2.53
Co 0.4193 0.9190 0.2423  7 Co 2.42-2.53
Co 0.5807 0.0810 0.7577  7 Co 2.42-2.53
Co 0.6669 0.6669 0.9994  6 Co 2.42-2.43
Co 0.5807 0.5807 0.7577  7 Co 2.42-2.53
Mg 0.0000 0.0000 0.0000  18 Co 2.80-3.13

Summary:
**Formation energy from the elements**: -60 meV/atom
**Total magnetic moment**: 1.493 μB per formula unit
**DFT total energy**: -7.91 eV/atom

---

Repeat the third record exactly.
Entry from Alexandria via LeMat-Bulk: a geometry-optimized MgZrCoPt structure (GGA-PBE).

Lattice parameters (Å, degrees): 4.5285 4.5285 4.5285 60.00 60.00 60.00
Last column: nearest neighbours and their distance in Å.
Positions (direct):
Pt 0.7500 0.7500 0.7500  4 Zr 2.77, 4 Mg 2.77
Zr 0.0000 0.0000 0.0000  4 Pt 2.77, 4 Co 2.77
Mg 0.5000 0.5000 0.5000  4 Co 2.77, 4 Pt 2.77
Co 0.2500 0.2500 0.2500  4 Mg 2.77, 4 Zr 2.77

Summary:
**Formation energy from the elements**: -583 meV/atom
**Total magnetic moment**: 0.921 μB per formula unit
**DFT total energy**: -6.41 eV/atom

---

> Look up the formation energy from the elements of the third one.

-583 meV/atom

---

> What is the formula in the second record?

MgTiCoPt2

---

Copy entry 4 word for word.
Entry from Alexandria via LeMat-Bulk: a geometry-optimized Pu2MgCo9 structure (GGA-PBE).

Lattice parameters (Å, degrees): 4.8474 4.8474 8.6320 73.69 73.69 60.00
Last column: nearest neighbours and their distance in Å.
Positions (direct):
Pu 0.8621 0.8621 0.4138  9 Co 2.80-2.89, 3 Pu 3.13
Pu 0.1379 0.1379 0.5862  9 Co 2.80-2.89, 3 Pu 3.13
Co 0.5000 0.5000 0.5000  6 Co 2.53
Co 0.3331 0.3331 0.0006  6 Co 2.42-2.43
Co 0.9190 0.4193 0.2423  7 Co 2.42-2.53
Co 0.4193 0.4193 0.2423  7 Co 2.42-2.53
Co 0.0810 0.5807 0.7577  7 Co 2.42-2.53
Co 0.4193 0.9190 0.2423  7 Co 2.42-2.53
Co 0.5807 0.0810 0.7577  7 Co 2.42-2.53
Co 0.6669 0.6669 0.9994  6 Co 2.42-2.43
Co 0.5807 0.5807 0.7577  7 Co 2.42-2.53
Mg 0.0000 0.0000 0.0000  18 Co 2.80-3.13

Summary:
**Formation energy from the elements**: -60 meV/atom
**Total magnetic moment**: 1.493 μB per formula unit
**DFT total energy**: -7.91 eV/atom